Record 1
The following is a DFT calculation (PBE) of a geometry-optimized Li2YSbF structure.

## Properties
- Symmetry: P4/mmm
- Total energy: -4.72 eV/atom
- Density of states at the Fermi level: 1.58 states/eV/cell
- Formation energy without anion corrections: -1.467 eV/atom

Unit cell a=4.3537 b=4.3537 c=4.8466 alpha=90.00 beta=90.00 gamma=90.00
Element x y z (fractional)
Li 0.0000 0.5000 0.0000
Li 0.5000 0.0000 0.0000
Y 0.0000 0.0000 0.5000
Sb 0.5000 0.5000 0.5000
F 0.0000 0.0000 0.0000

Record 2
The following is a DFT calculation (PBE) of a geometry-optimized Ce12PuSi6 structure.

## Properties
- Symmetry: R-3
- Total energy: -6.57 eV/atom
- Density of states at the Fermi level: 40.45 states/eV/cell
- Formation energy without anion corrections: -0.352 eV/atom

Unit cell a=8.4424 b=8.4424 c=8.4424 alpha=109.11 beta=109.11 gamma=109.11
Element x y z (fractional)
Ce 0.0738 0.3358 0.8690
Ce 0.1310 0.9262 0.6642
Ce 0.1777 0.4276 0.6216
Ce 0.3358 0.8690 0.0738
Ce 0.3784 0.8223 0.5724
Ce 0.4276 0.6216 0.1777
Ce 0.5724 0.3784 0.8223
Ce 0.6216 0.1777 0.4276
Ce 0.6642 0.1310 0.9262
Ce 0.8223 0.5724 0.3784
Ce 0.8690 0.0738 0.3358
Ce 0.9262 0.6642 0.1310
Pu 0.0000 0.0000 0.0000
Si 0.0691 0.4114 0.2433
Si 0.2433 0.0691 0.4114
Si 0.4114 0.2433 0.0691
Si 0.5886 0.7567 0.9309
Si 0.7567 0.9309 0.5886
Si 0.9309 0.5886 0.7567

Record 3
The following is a DFT calculation (PBE) of a geometry-optimized PmMnH6 structure.

## Properties
- Symmetry: Fm-3m
- Total energy: -4.21 eV/atom
- Density of states at the Fermi level: 3.01 states/eV/cell
- Offset from the most stable computed form: 229 meV per atom

Unit cell a=5.3144 b=5.3144 c=5.3144 alpha=60.00 beta=60.00 gamma=60.00
Element x y z (fractional)
Pm 0.0000 0.0000 0.0000
Mn 0.5000 0.5000 0.5000
H 0.2865 0.2865 0.7135
H 0.2865 0.7135 0.2865
H 0.2865 0.7135 0.7135
H 0.7135 0.2865 0.2865
H 0.7135 0.2865 0.7135
H 0.7135 0.7135 0.2865

Question: The highest total energy belongs to which entry?
Answer: PmMnH6

Question: What is the formula in the second record?
Answer: Ce12PuSi6

Question: The highest density of states at the Fermi level belongs to which entry?
Answer: Ce12PuSi6